[1]
Gd3Ge5O12 | GGA-PBE | optimized geometry

Results
D(E_F): 87.42 states/eV/cell
energy relative to the elements, uncorrected: -2.1050 eV/atom

Unit cell a=12.9286 b=12.9286 c=12.9286 alpha=90.00 beta=90.00 gamma=90.00
Closest atoms and distances in Å follow each position.
Space group Ia-3d (No. 230)
Inequivalent atoms, fractional coordinates:
1 Gd 0.0000 0.2500 0.1250  8 O 2.47-2.53
2 Ge 0.0000 0.0000 0.0000  6 O 2.30
3 Ge 0.0000 0.2500 0.3750  4 O 1.81
4 O 0.0338 0.0614 0.6639  1 Ge 1.81

***

[2]
LaAl2Cr | GGA-PBE | optimized geometry

Results
E_form: 283 meV/atom
D(E_F): 32.17 states/eV/cell

Unit cell a=6.8131 b=6.8131 c=6.8131 alpha=90.00 beta=90.00 gamma=90.00
Closest atoms and distances in Å follow each position.
Space group Fm-3m (No. 225)
Inequivalent atoms, fractional coordinates:
1 La 0.0000 0.0000 0.0000  8 Al 2.95
2 Al 0.2500 0.2500 0.2500  4 Cr 2.95, 4 La 2.95
3 Cr 0.0000 0.0000 0.5000  8 Al 2.95

***

[3]
ScP2OsS | GGA-PBE | optimized geometry

Results
D(E_F): 5.23 states/eV/cell
energy relative to the elements, uncorrected: 1.2377 eV/atom

Unit cell a=4.9039 b=4.9039 c=4.6600 alpha=90.00 beta=90.00 gamma=90.00
Closest atoms and distances in Å follow each position.
Space group P4/mmm (No. 123)
Inequivalent atoms, fractional coordinates:
1 Sc 0.0000 0.0000 0.0000  2 S 2.33, 4 P 2.45
2 P 0.0000 0.5000 0.0000  2 Sc 2.45
3 Os 0.5000 0.5000 0.5000  8 P 3.38, 4 S 3.47
4 S 0.0000 0.0000 0.5000  2 Sc 2.33

***

[4]
ReBOs2Ru | GGA-PBE | optimized geometry

Results
E_form: 2230 meV/atom
D(E_F): 6.09 states/eV/cell

Unit cell a=4.6913 b=4.6913 c=3.8477 alpha=90.00 beta=90.00 gamma=90.00
Closest atoms and distances in Å follow each position.
Space group P4/mmm (No. 123)
Inequivalent atoms, fractional coordinates:
1 Re 0.0000 0.0000 0.0000  8 Os 3.03, 4 B 3.32
2 B 0.5000 0.5000 0.0000  2 Ru 1.92
3 Os 0.0000 0.5000 0.5000  2 Ru 2.35
4 Ru 0.5000 0.5000 0.5000  2 B 1.92

***

[5]
PmNdCo | GGA-PBE | optimized geometry

Results
E_form: 15 meV/atom
D(E_F): 10.95 states/eV/cell

Unit cell a=13.0659 b=4.9111 c=4.9100 alpha=90.00 beta=90.00 gamma=90.00
Closest atoms and distances in Å follow each position.
Space group Amm2 (No. 38)
Inequivalent atoms, fractional coordinates:
1 Pm 0.1256 0.0000 0.0000  4 Co 2.95-2.96, 1 Pm 3.28
2 Nd 0.3725 0.0000 0.5022  4 Co 2.97
3 Co 0.0000 0.0000 0.4996  8 Pm 2.95-2.96
4 Co 0.5000 0.0000 0.0026  8 Nd 2.97

***

[6]
Li3ZnIn12 | GGA-PBE | optimized geometry

Results
E_form: -78 meV/atom
D(E_F): 6.10 states/eV/cell

Unit cell a=4.5850 b=4.5850 c=18.2352 alpha=90.00 beta=90.00 gamma=90.00
Closest atoms and distances in Å follow each position.
Space group P4/mmm (No. 123)
Inequivalent atoms, fractional coordinates:
1 Li 0.0000 0.0000 0.0000  12 In 3.23-3.24
2 Li 0.0000 0.0000 0.2480  12 In 3.21-3.25
3 Zn 0.0000 0.0000 0.5000  12 In 3.24
4 In 0.0000 0.5000 0.1250  4 Li 3.21-3.23, 8 In 3.22-3.24
5 In 0.0000 0.5000 0.3742  8 In 3.23-3.24, 2 Zn 3.24, 2 Li 3.25
6 In 0.5000 0.5000 0.0000  8 In 3.23, 4 Li 3.24
7 In 0.5000 0.5000 0.2491  8 In 3.22-3.23, 4 Li 3.24
8 In 0.5000 0.5000 0.5000  4 Zn 3.24, 8 In 3.24

***

[7]
TlSb2PbI | GGA-PBE | optimized geometry

Results
D(E_F): 5.92 states/eV/cell
energy relative to the elements, uncorrected: 0.5824 eV/atom

Unit cell a=5.6924 b=5.6924 c=6.1699 alpha=90.00 beta=90.00 gamma=90.00
Closest atoms and distances in Å follow each position.
Space group P4/mmm (No. 123)
Inequivalent atoms, fractional coordinates:
1 Tl 0.0000 0.0000 0.0000  4 Sb 2.85, 2 I 3.08
2 Sb 0.0000 0.5000 0.0000  2 Tl 2.85
3 Pb 0.5000 0.5000 0.5000  4 I 4.03, 8 Sb 4.20
4 I 0.0000 0.0000 0.5000  2 Tl 3.08

***

[8]
Cr2SiAg | GGA-PBE | optimized geometry

Results
D(E_F): 1.37 states/eV/cell
energy relative to the elements, uncorrected: 0.2002 eV/atom

Unit cell a=2.9490 b=2.9490 c=6.4856 alpha=90.00 beta=90.00 gamma=90.00
Closest atoms and distances in Å follow each position.
Space group P4mm (No. 99)
Inequivalent atoms, fractional coordinates:
1 Cr 0.0000 0.0000 0.0000  4 Cr 2.45, 1 Si 2.64
2 Cr 0.5000 0.5000 0.1971  4 Cr 2.45, 4 Si 2.49
3 Si 0.0000 0.0000 0.4066  5 Cr 2.49-2.64
4 Ag 0.5000 0.5000 0.6953  4 Si 2.80, 4 Cr 2.87, 4 Ag 2.95